(1)
Computed, not measured: Tb2Sm6YTh after structural relaxation at the PBE level of DFT.

abc: 9.227 15.046 9.752
angles: 90.00 98.14 90.00
Space group C2/c (No. 15)
Asymmetric unit:
Tb  0.246  0.046  0.048
Sm  0.066  0.178  0.444
Sm  0.097  0.392  0.620
Sm  0.205  0.221  0.816
Y  0.000  0.407  0.250
Th  0.000  0.026  0.750

Computed properties:
energy	-5.000	eV per atom
magnetization	0.00	μB per formula unit


(2)
Computed, not measured: TbSm3YTh after structural relaxation at the PBE level of DFT.

abc: 8.047 5.097 10.193
angles: 90.00 108.33 90.00
Space group P2_1/m (No. 11)
Asymmetric unit:
Tb  0.001  0.250  0.129
Sm  0.323  0.250  0.456
Sm  0.323  0.750  0.706
Sm  0.330  0.250  0.956
Y  0.330  0.750  0.208
Th  0.000  0.250  0.622

Computed properties:
energy	-5.416	eV per atom
magnetization	0.00	μB per formula unit


(3)
Computed, not measured: TbSmYTh after structural relaxation at the PBE level of DFT.

abc: 8.070 8.070 8.070
angles: 90.00 90.00 90.00
Space group F-43m (No. 216)
Asymmetric unit:
Tb  0.000  0.000  0.000
Sm  0.000  0.000  0.500
Y  0.250  0.250  0.750
Th  0.250  0.250  0.250

Computed properties:
polymorph energy (0 for the lowest one)	0.174	eV per atom
magnetization	0.01	μB per formula unit


(4)
Computed, not measured: Tb2SmY6Th3 after structural relaxation at the PBE level of DFT.

abc: 6.212 10.757 11.774
angles: 90.00 100.15 90.00
Space group C2/m (No. 12)
Asymmetric unit:
Tb  0.000  0.167  0.000
Sm  0.000  0.500  0.000
Y  0.248  0.167  0.745
Y  0.249  0.500  0.745
Th  0.000  0.000  0.500
Th  0.000  0.333  0.500

Computed properties:
energy	-6.229	eV per atom
magnetization	0.00	μB per formula unit